This record from Alexandria via LeMat-Bulk describes crystalline MgCr2O6 at its relaxed geometry. The functional is GGA+U.

Cell and atoms, written as POSCAR:
```
MgCr2O6
1.0
5.611 0.000 0.000
0.000 5.033 -2.906
0.000 0.000 5.812
Mg Cr O
1 2 6
direct
0.000 0.000 0.000
0.742 0.333 0.667
0.258 0.667 0.333
0.789 0.657 0.829
0.789 0.171 0.829
0.789 0.171 0.343
0.211 0.343 0.171
0.211 0.829 0.171
0.211 0.829 0.657
```

VASP energy: -58.09 eV per cell